No. 1
Material: K2Si2Pb
Method: DFT, GGA-PBE
State: relaxed

Results
- magnetic moment (μB/cell) = 0.00
- DOS(E_F) (states/eV/atom) = 0.0458
- distance to the lowest polymorph of the same formula (eV/atom) = 0.1238
- symmetry = No. 139
- formation energy without anion corrections (eV/atom) = 0.2507
- uncorrected energy (eV per atom) = -3.099

a = 4.7793 Å, b = 4.7793 Å, c = 7.6239 Å
α = 71.73°, β = 71.73°, γ = 90.00°
Atoms (fractional coordinates):
Si1 0.5798 0.5798 0.8404
K1 0.7500 0.2500 0.5000
K2 0.2500 0.7500 0.5000
Pb1 0.0000 0.0000 0.0000
Si2 0.4202 0.4202 0.1596

No. 2
Material: K2SiPb
Method: DFT, GGA-PBE
State: relaxed

Results
- magnetic moment (μB/cell) = 0.00
- DOS(E_F) (states/eV/atom) = 0.8044
- distance to the lowest polymorph of the same formula (eV/atom) = 0.2761
- symmetry = No. 47
- formation energy without anion corrections (eV/atom) = 0.3010
- uncorrected energy (eV per atom) = -2.531

a = 3.3471 Å, b = 5.5761 Å, c = 6.5980 Å
α = 90.00°, β = 90.00°, γ = 90.00°
Atoms (fractional coordinates):
Pb1 0.5000 0.5000 0.2500
K1 0.0000 0.0000 0.5130
Si1 0.5000 0.5000 0.7500
K2 0.0000 0.0000 0.9870

No. 3
Material: K2SiPb
Method: DFT, GGA-PBE
State: relaxed

Results
- magnetic moment (μB/cell) = 0.00
- DOS(E_F) (states/eV/atom) = 0.3128
- distance to the lowest polymorph of the same formula (eV/atom) = 0.0319
- symmetry = No. 160
- formation energy without anion corrections (eV/atom) = 0.0569
- uncorrected energy (eV per atom) = -2.775

a = 9.8138 Å, b = 9.8138 Å, c = 9.8138 Å
α = 26.71°, β = 26.71°, γ = 26.71°
Atoms (fractional coordinates):
Pb1 0.4731 0.4731 0.4731
K1 0.0326 0.0326 0.0326
K2 0.2229 0.2229 0.2229
Si1 0.7714 0.7714 0.7714

No. 4
Material: K2SiPb
Method: DFT, GGA-PBE
State: relaxed

Results
- magnetic moment (μB/cell) = 0.00
- DOS(E_F) (states/eV/atom) = 0.3954
- distance to the lowest polymorph of the same formula (eV/atom) = 0.1940
- symmetry = No. 122
- formation energy without anion corrections (eV/atom) = 0.2189
- uncorrected energy (eV per atom) = -2.613

a = 12.5794 Å, b = 12.5794 Å, c = 9.2877 Å
α = 47.37°, β = 47.37°, γ = 90.00°
Atoms (fractional coordinates):
K1 0.8750 0.6949 0.7500
Si1 0.5000 0.5000 0.0000
Pb1 0.0000 0.0000 0.0000
Si2 0.2500 0.7500 0.5000
Pb2 0.7500 0.2500 0.5000
K2 0.3750 0.5551 0.7500
K3 0.3051 0.6250 0.2500
K4 0.4449 0.1250 0.2500

No. 5
Material: KSiPb
Method: DFT, GGA-PBE
State: relaxed

Results
- magnetic moment (μB/cell) = 0.00
- DOS(E_F) (states/eV/atom) = 0.4400
- distance to the lowest polymorph of the same formula (eV/atom) = 0.2954
- symmetry = No. 216
- formation energy without anion corrections (eV/atom) = 0.2950
- uncorrected energy (eV per atom) = -3.115

a = 5.1412 Å, b = 5.1412 Å, c = 5.1412 Å
α = 60.00°, β = 60.00°, γ = 60.00°
Atoms (fractional coordinates):
K1 0.0000 0.0000 0.0000
Pb1 0.5000 0.5000 0.5000
Si1 0.7500 0.7500 0.7500

No. 6
Material: KSiPb3
Method: DFT, GGA-PBE
State: relaxed

Results
- magnetic moment (μB/cell) = 0.00
- DOS(E_F) (states/eV/atom) = 0.9545
- distance to the lowest polymorph of the same formula (eV/atom) = 0.0000
- symmetry = No. 221
- formation energy without anion corrections (eV/atom) = 0.2769
- uncorrected energy (eV per atom) = -3.252

a = 5.5970 Å, b = 5.5970 Å, c = 5.5970 Å
α = 90.00°, β = 90.00°, γ = 90.00°
Atoms (fractional coordinates):
Si1 0.0000 0.0000 0.0000
Pb1 0.0000 0.0000 0.5000
Pb2 0.5000 0.0000 0.0000
K1 0.5000 0.5000 0.5000
Pb3 0.0000 0.5000 0.0000

No. 7
Material: KSiPb
Method: DFT, GGA-PBE
State: relaxed

Results
- magnetic moment (μB/cell) = 0.00
- DOS(E_F) (states/eV/atom) = 0.4946
- distance to the lowest polymorph of the same formula (eV/atom) = 0.1938
- symmetry = No. 107
- formation energy without anion corrections (eV/atom) = 0.1933
- uncorrected energy (eV per atom) = -3.216

a = 7.2811 Å, b = 7.2811 Å, c = 7.2811 Å
α = 151.26°, β = 151.26°, γ = 41.09°
Atoms (fractional coordinates):
K1 0.0129 0.0129 0.0000
Pb1 0.3005 0.3005 0.0000
Si1 0.6866 0.6866 0.0000

No. 8
Material: KSi2Pb2
Method: DFT, GGA-PBE
State: relaxed

Results
- magnetic moment (μB/cell) = 0.00
- DOS(E_F) (states/eV/atom) = 0.3791
- distance to the lowest polymorph of the same formula (eV/atom) = 0.0000
- symmetry = No. 139
- formation energy without anion corrections (eV/atom) = 0.1656
- uncorrected energy (eV per atom) = -3.706

a = 5.0583 Å, b = 5.0583 Å, c = 6.7174 Å
α = 67.88°, β = 67.88°, γ = 90.00°
Atoms (fractional coordinates):
Pb1 0.2500 0.7500 0.5000
K1 0.0000 0.0000 0.0000
Si1 0.3965 0.3965 0.2070
Pb2 0.7500 0.2500 0.5000
Si2 0.6035 0.6035 0.7930

Repeat the fifth record exactly.
Material: KSiPb
Method: DFT, GGA-PBE
State: relaxed

Results
- magnetic moment (μB/cell) = 0.00
- DOS(E_F) (states/eV/atom) = 0.4400
- distance to the lowest polymorph of the same formula (eV/atom) = 0.2954
- symmetry = No. 216
- formation energy without anion corrections (eV/atom) = 0.2950
- uncorrected energy (eV per atom) = -3.115

a = 5.1412 Å, b = 5.1412 Å, c = 5.1412 Å
α = 60.00°, β = 60.00°, γ = 60.00°
Atoms (fractional coordinates):
K1 0.0000 0.0000 0.0000
Pb1 0.5000 0.5000 0.5000
Si1 0.7500 0.7500 0.7500

Q: Among the records above, which one has the lowest uncorrected energy?
A: KSi2Pb2